# 1
The following is a DFT calculation (PBE) of crystalline K3OsRh3O8 at its relaxed geometry.

abc: 6.394 6.402 7.000
angles: 117.29 90.00 119.95
Each line ends with the local moment (μB).
Positions (direct):
O (0.783, 0.565, 0.337)  0.07
O (0.272, 0.055, 0.337)  0.07
O (0.728, 0.945, 0.663)  0.07
O (0.217, 0.945, 0.663)  0.07
O (0.277, 0.554, 0.331)  0.01
O (0.217, 0.435, 0.663)  0.07
O (0.723, 0.446, 0.669)  0.01
O (0.783, 0.055, 0.337)  0.07
Os (0.000, 0.000, 0.500)  1.32
K (0.500, 0.500, 0.000)  0.00
K (0.000, 0.000, 0.000)  0.00
K (0.000, 0.500, 0.000)  0.00
Rh (0.500, 0.500, 0.500)  0.04
Rh (0.500, 0.000, 0.500)  0.05
Rh (0.000, 0.500, 0.500)  0.04

**Symmetry**: C2/m
**Electronic total energy**: -6.082 eV per atom
**Formation energy from raw total energies**: -1.00 eV per atom

---

# 2
The following is a DFT calculation (PBE) of crystalline Ni2AsH at its relaxed geometry.

abc: 3.572 5.736 4.664
angles: 103.78 112.49 89.99
Positions (direct):
Ni (0.989, 0.091, 0.340)
Ni (0.255, 0.932, 0.868)
Ni (0.456, 0.406, 0.274)
Ni (0.720, 0.246, 0.801)
As (0.192, 0.498, 0.745)
As (0.518, 0.840, 0.397)
H (0.913, 0.369, 0.188)
H (0.797, 0.968, 0.954)

**Symmetry**: C2/m
**Electronic total energy**: -5.016 eV per atom
**Energy relative to the lowest polymorph listed for this composition**: 0.0 kJ per mole of atoms

---

# 3
The following is a DFT calculation (PBE) of crystalline TaBe2I at its relaxed geometry.

abc: 4.499 4.499 4.499
angles: 60.00 60.00 60.00
Each line ends with the local moment (μB).
Positions (direct):
Be (0.250, 0.250, 0.250)  0.01
Be (0.750, 0.750, 0.750)  0.01
I (0.000, 0.000, 0.000)  0.02
Ta (0.500, 0.500, 0.500)  0.28

**Symmetry**: Fm-3m
**Electronic total energy**: -3.823 eV per atom
**Energy relative to the lowest polymorph listed for this composition**: 28.2 kJ per mole of atoms
**Formation energy from raw total energies**: 1.39 eV per atom

---

Please write out number 3 again, unchanged.
The following is a DFT calculation (PBE) of crystalline TaBe2I at its relaxed geometry.

abc: 4.499 4.499 4.499
angles: 60.00 60.00 60.00
Each line ends with the local moment (μB).
Positions (direct):
Be (0.250, 0.250, 0.250)  0.01
Be (0.750, 0.750, 0.750)  0.01
I (0.000, 0.000, 0.000)  0.02
Ta (0.500, 0.500, 0.500)  0.28

**Symmetry**: Fm-3m
**Electronic total energy**: -3.823 eV per atom
**Energy relative to the lowest polymorph listed for this composition**: 28.2 kJ per mole of atoms
**Formation energy from raw total energies**: 1.39 eV per atom